# 1
Below is TbDyZnPt after structural relaxation, with properties calculated at the PBE level.

Cell: 7.0609 7.0609 7.0609 Å, 90.00 90.00 90.00°
Space group F-43m (No. 216)
Symmetry-distinct sites (fractional):
Tb 0.0000 0.0000 0.0000 [4 per cell]
Dy 0.0000 0.0000 0.5000 [4 per cell]
Zn 0.2500 0.2500 0.7500 [4 per cell]
Pt 0.2500 0.2500 0.2500 [4 per cell]

final energy = -0.181 hartree per atom
theoretical density = 10.98 g/cm³
magnetic moment = 0.000 μB/atom
density of states at the Fermi level = 2.46 states/eV/f.u.

---

# 2
Below is TiInAg after structural relaxation, with properties calculated at the PBE level.

Cell: 3.3263 3.3263 10.4697 Å, 90.00 90.00 90.00°
Space group P4mm (No. 99)
Symmetry-distinct sites (fractional):
Ti 0.0000 0.0000 0.0000 [1 per cell]
Ti 0.5000 0.5000 0.1444 [1 per cell]
In 0.0000 0.0000 0.3083 [1 per cell]
In 0.0000 0.0000 0.6694 [1 per cell]
Ag 0.5000 0.5000 0.4821 [1 per cell]
Ag 0.5000 0.5000 0.8474 [1 per cell]

final energy = -0.166 hartree per atom
theoretical density = 7.76 g/cm³
magnetic moment = 0.069 μB/atom
density of states at the Fermi level = 1.73 states/eV/f.u.

---

# 3
Below is LiEuHoTl after structural relaxation, with properties calculated at the PBE level.

Cell: 7.6662 7.6662 7.6662 Å, 90.00 90.00 90.00°
Space group F-43m (No. 216)
Symmetry-distinct sites (fractional):
Li 0.0000 0.0000 0.0000 [4 per cell]
Eu 0.2500 0.2500 0.2500 [4 per cell]
Ho 0.2500 0.2500 0.7500 [4 per cell]
Tl 0.0000 0.0000 0.5000 [4 per cell]

final energy = -0.182 hartree per atom
theoretical density = 7.79 g/cm³
magnetic moment = 1.799 μB/atom
density of states at the Fermi level = 9.25 states/eV/f.u.

---

| no. | formation energy (meV/atom) |
| --- | --- |
| 1 | -786 |
| 2 | -17 |
| 3 | -169 |